The following is a DFT calculation (PBE with a Hubbard U) of a relaxed Li3Ni2O4 crystal.

Properties
SG = No. 12
Volume = 86 Å³/cell
Raw total energy = -42.68 eV/cell

Lattice parameters (Å, degrees): 3.000 3.000 11.095 90.09 89.91 120.11
Site moments in Bohr magnetons follow the coordinates.
Fractional positions:
O 0.334 0.666 0.882  -0.14
Ni 0.332 0.668 0.212  1.61
O 0.997 0.003 0.326  0.03
O 0.003 0.997 0.674  0.03
Li 0.336 0.664 0.615  0.01
Li 0.664 0.336 0.385  0.01
O 0.666 0.334 0.118  -0.14
Li 0.000 0.000 0.000  0.01
Ni 0.668 0.332 0.788  1.61